The following is a SCAN calculation of a crystal of Al2Zn3S6 relaxed with PBEsol, from Alexandria via LeMat-Bulk.

abc: 7.138 7.138 7.138
angles: 54.20 54.20 54.20
Fractional coordinates of all 11 atoms:
Al 0.000 0.000 0.000
Al 0.336 0.336 0.336
Zn 0.147 0.519 0.840
Zn 0.519 0.840 0.147
Zn 0.840 0.147 0.519
S 0.126 0.126 0.126
S 0.293 0.628 0.968
S 0.462 0.462 0.462
S 0.628 0.968 0.293
S 0.784 0.784 0.784
S 0.968 0.293 0.628

Summary:
formation energy without anion corrections = -11.8 eV/f.u.

***

The following is a SCAN calculation of a crystal of Co2SiTc relaxed with PBEsol, from Alexandria via LeMat-Bulk.

abc: 4.750 4.750 2.557
angles: 101.70 101.70 117.98
Fractional coordinates of all 4 atoms:
Co 0.000 0.500 0.000
Co 0.500 0.000 0.000
Si 0.000 0.000 0.500
Tc 0.500 0.500 0.500

Summary:
formation energy without anion corrections = -0.1 eV/f.u.

***

The following is a SCAN calculation of a crystal of ScFeSe relaxed with PBEsol, from Alexandria via LeMat-Bulk.

abc: 4.055 4.055 4.055
angles: 60.00 60.00 60.00
Fractional coordinates of all 3 atoms:
Sc 0.000 0.000 0.000
Fe 0.250 0.250 0.250
Se 0.500 0.500 0.500

Summary:
formation energy without anion corrections = -1.3 eV/f.u.

***

The following is a SCAN calculation of a crystal of BeSe3 relaxed with PBEsol, from Alexandria via LeMat-Bulk.

abc: 3.382 7.850 6.135
angles: 90.00 90.00 90.00
Fractional coordinates of all 8 atoms:
Be 0.250 0.250 0.239
Be 0.750 0.750 0.761
Se 0.250 0.540 0.802
Se 0.250 0.750 0.482
Se 0.250 0.960 0.802
Se 0.750 0.040 0.198
Se 0.750 0.250 0.518
Se 0.750 0.460 0.198

Summary:
formation energy without anion corrections = 0.3 eV/f.u.

***

The following is a SCAN calculation of a crystal of BaTaMn2 relaxed with PBEsol, from Alexandria via LeMat-Bulk.

abc: 5.046 5.046 3.020
angles: 90.00 90.00 90.39
Fractional coordinates of all 4 atoms:
Ba 0.000 0.000 0.000
Ta 0.500 0.500 0.000
Mn 0.000 0.500 0.500
Mn 0.500 0.000 0.500

Summary:
energy of formation from the pure elements = 0.828 eV per atom
relative energy among the computed polymorphs = 0 kJ/mol of formula units

***

The following is a SCAN calculation of a crystal of Ba5Mg3 relaxed with PBEsol, from Alexandria via LeMat-Bulk.

abc: 10.778 10.778 7.293
angles: 90.00 90.00 120.00
Fractional coordinates of all 16 atoms:
Ba 0.000 0.254 0.250
Ba 0.000 0.746 0.750
Ba 0.254 0.000 0.250
Ba 0.254 0.254 0.750
Ba 0.333 0.667 0.000
Ba 0.333 0.667 0.500
Ba 0.667 0.333 0.000
Ba 0.667 0.333 0.500
Ba 0.746 0.000 0.750
Ba 0.746 0.746 0.250
Mg 0.000 0.406 0.750
Mg 0.000 0.594 0.250
Mg 0.406 0.000 0.750
Mg 0.406 0.406 0.250
Mg 0.594 0.000 0.250
Mg 0.594 0.594 0.750

Summary:
energy of formation from the pure elements = 0.017 eV per atom
relative energy among the computed polymorphs = 3 kJ/mol of formula units

***

The following is a SCAN calculation of a crystal of TiPdSe2 relaxed with PBEsol, from Alexandria via LeMat-Bulk.

abc: 8.198 8.198 8.198
angles: 23.65 23.65 23.65
Fractional coordinates of all 4 atoms:
Ti 0.000 0.000 0.000
Pd 0.500 0.500 0.500
Se 0.400 0.400 0.400
Se 0.600 0.600 0.600

Summary:
formation energy without anion corrections = -2.9 eV/f.u.

***

The following is a SCAN calculation of a crystal of Li2AlAu2 relaxed with PBEsol, from Alexandria via LeMat-Bulk.

abc: 6.840 6.840 3.372
angles: 90.00 90.00 90.00
Fractional coordinates of all 10 atoms:
Li 0.151 0.349 0.000
Li 0.349 0.849 0.000
Li 0.651 0.151 0.000
Li 0.849 0.651 0.000
Al 0.000 0.000 0.500
Al 0.500 0.500 0.500
Au 0.150 0.650 0.500
Au 0.350 0.150 0.500
Au 0.650 0.850 0.500
Au 0.850 0.350 0.500

Summary:
energy of formation from the pure elements = -0.577 eV per atom

***

The following is a SCAN calculation of a crystal of Mn2HgCl relaxed with PBEsol, from Alexandria via LeMat-Bulk.

abc: 4.671 4.671 4.671
angles: 122.78 122.78 85.25
Fractional coordinates of all 4 atoms:
Mn 0.250 0.750 0.500
Mn 0.750 0.250 0.500
Hg 0.000 0.000 0.000
Cl 0.500 0.500 0.000

Summary:
formation energy without anion corrections = 0.2 eV/f.u.
relative energy among the computed polymorphs = 100 kJ/mol of formula units

***

The following is a SCAN calculation of a crystal of CoAgMo relaxed with PBEsol, from Alexandria via LeMat-Bulk.

abc: 2.705 2.705 6.668
angles: 90.00 90.00 120.00
Fractional coordinates of all 3 atoms:
Co 0.000 0.000 0.000
Ag 0.667 0.333 0.336
Mo 0.333 0.667 0.711

Summary:
energy of formation from the pure elements = 0.477 eV per atom

***

What did the second record say?
The following is a SCAN calculation of a crystal of Co2SiTc relaxed with PBEsol, from Alexandria via LeMat-Bulk.

abc: 4.750 4.750 2.557
angles: 101.70 101.70 117.98
Fractional coordinates of all 4 atoms:
Co 0.000 0.500 0.000
Co 0.500 0.000 0.000
Si 0.000 0.000 0.500
Tc 0.500 0.500 0.500

Summary:
formation energy without anion corrections = -0.1 eV/f.u.